(1)
Below is a relaxed MgAlCu5 crystal, with properties calculated at the PBE-GGA level.

The formation energy from the elements comes out at -0.02 eV per atom. The value obtained for the raw total energy is -3.71 eV per atom.

Cell: 4.631 4.631 5.159 Å, 90.00 90.00 114.95°
Atoms (fractional coordinates):
Mg 0.000 0.000 0.000
Al 0.500 0.500 0.500
Cu 0.000 0.000 0.500
Cu 0.000 0.500 0.255
Cu 0.000 0.500 0.745
Cu 0.500 0.000 0.255
Cu 0.500 0.000 0.745


(2)
Below is a relaxed CrAg2Pd8 crystal, with properties calculated at the PBE-GGA level.

The formation energy from the elements comes out at 0.16 eV per atom. The value obtained for the raw total energy is -5.01 eV per atom.

Cell: 6.679 6.679 4.259 Å, 90.00 90.00 105.50°
Atoms (fractional coordinates):
Cr 0.000 0.000 0.000
Ag 0.376 0.624 0.500
Ag 0.624 0.376 0.500
Pd 0.038 0.298 0.500
Pd 0.233 0.767 0.000
Pd 0.298 0.038 0.500
Pd 0.323 0.323 0.000
Pd 0.677 0.677 0.000
Pd 0.702 0.962 0.500
Pd 0.767 0.233 0.000
Pd 0.962 0.702 0.500


(3)
Below is a relaxed CuN crystal, with properties calculated at the PBE-GGA level.

The energy above the most stable polymorph in this dataset comes out at 574 meV/atom. The value obtained for the raw total energy is -5.26 eV per atom.

Cell: 3.568 9.703 3.730 Å, 90.00 90.00 90.00°
Atoms (fractional coordinates):
Cu 0.250 0.088 0.219
Cu 0.250 0.412 0.219
Cu 0.250 0.750 0.302
Cu 0.750 0.250 0.698
Cu 0.750 0.588 0.781
Cu 0.750 0.912 0.781
N 0.250 0.250 0.500
N 0.250 0.588 0.985
N 0.250 0.912 0.985
N 0.750 0.088 0.015
N 0.750 0.412 0.015
N 0.750 0.750 0.500


(4)
Below is a relaxed CsK6Rb crystal, with properties calculated at the PBE-GGA level.

The formation energy from the elements comes out at 0.01 eV per atom. The energy above the most stable polymorph in this dataset comes out at 0 meV/atom. The value obtained for the raw total energy is -1.04 eV per atom.

Cell: 7.827 9.607 9.607 Å, 61.50 90.00 90.00°
Atoms (fractional coordinates):
Cs 0.000 0.000 0.000
K 0.000 0.007 0.497
K 0.000 0.497 0.007
K 0.000 0.499 0.499
K 0.500 0.182 0.182
K 0.500 0.186 0.665
K 0.500 0.665 0.186
Rb 0.500 0.679 0.679


(5)
Below is a relaxed KTi2TcSb crystal, with properties calculated at the PBE-GGA level.

The value obtained for the raw total energy is -4.28 eV per atom.

Cell: 4.546 4.546 4.614 Å, 90.00 90.00 90.00°
Atoms (fractional coordinates):
K 0.000 0.000 0.000
Ti 0.000 0.500 0.000
Ti 0.500 0.000 0.000
Tc 0.000 0.000 0.500
Sb 0.500 0.500 0.500


(6)
Below is a relaxed CePrTePt crystal, with properties calculated at the PBE-GGA level.

The value obtained for the raw total energy is -6.19 eV per atom.

Cell: 8.005 8.005 8.005 Å, 30.72 30.72 30.72°
Atoms (fractional coordinates):
Ce 0.000 0.000 0.000
Pr 0.477 0.477 0.477
Te 0.239 0.239 0.239
Pt 0.735 0.735 0.735


(7)
Below is a relaxed BeOs2Ru crystal, with properties calculated at the PBE-GGA level.

The formation energy from the elements comes out at 0.07 eV per atom. The value obtained for the raw total energy is -8.80 eV per atom.

Cell: 2.717 3.870 5.146 Å, 90.00 105.06 90.00°
Atoms (fractional coordinates):
Be 0.000 0.000 0.000
Os 0.159 0.500 0.284
Os 0.780 0.000 0.525
Ru 0.427 0.500 0.824


(8)
Below is a relaxed SrYTl2 crystal, with properties calculated at the PBE-GGA level.

The formation energy from the elements comes out at 0.06 eV per atom. The value obtained for the raw total energy is -3.15 eV per atom.

Cell: 5.676 5.676 5.676 Å, 60.00 60.00 60.00°
Atoms (fractional coordinates):
Sr 0.000 0.000 0.000
Y 0.750 0.750 0.750
Tl 0.250 0.250 0.250
Tl 0.500 0.500 0.500